PrTmPb6 after structural relaxation. Source: Alexandria via LeMat-Bulk, functional PBE.

a = 4.909 Å, b = 4.909 Å, c = 9.802 Å
α = 90.00°, β = 90.00°, γ = 90.00°
Element x y z (fractional)
Pr1 0.000 0.000 0.000
Tm1 0.000 0.000 0.500
Pb1 0.000 0.500 0.256
Pb2 0.000 0.500 0.744
Pb3 0.500 0.000 0.256
Pb4 0.500 0.000 0.744
Pb5 0.500 0.500 0.000
Pb6 0.500 0.500 0.500

Mass density: 10.92 g/cm³
Energy of formation: -0.3044 eV per atom